# RbCuIr

A geometry-optimized RbCuIr structure (PBE, OQMD via LeMat-Bulk).

Values from the calculation:
Symmetry: No. 216
Distance to the lowest polymorph of the same formula: 0.0 meV/atom
Total magnetic moment: 1.00 μB per cell

abc: 4.690 4.690 4.690
angles: 60.00 60.00 60.00
Fractional coordinates of all 3 atoms:
1 Cu 0.000 0.000 0.000
2 Ir 0.250 0.250 0.250
3 Rb 0.750 0.750 0.750